Compound: MgZr2W
Source: Alexandria
Functional: PBEsol
Structure: relaxed

The structure in POSCAR format:
```
MgZr2W
1.0
-0.353 -0.689 -2.655
-0.374 -5.154 2.172
-4.658 3.057 0.611
W Zr Mg
1 2 1
Direct
0.500 0.000 0.000 W
0.000 0.000 0.500 Zr
0.000 0.500 0.000 Zr
0.500 0.500 0.500 Mg
```

Results
Its formation energy is 0.28 eV per atom.

---

Compound: MgZrW2
Source: Alexandria
Functional: PBEsol
Structure: relaxed

The structure in POSCAR format:
```
MgZrW2
1.0
3.424 0.000 0.000
0.000 4.406 0.000
-1.712 -2.203 4.636
Mg W Zr
1 2 1
Direct
0.000 0.500 0.000 Mg
0.753 0.753 0.506 W
0.247 0.247 0.494 W
0.500 0.000 0.000 Zr
```

Results
Its formation energy is 0.42 eV per atom.

---

Compound: MgZrW2
Source: Alexandria
Functional: PBEsol
Structure: relaxed

The structure in POSCAR format:
```
MgZrW2
1.0
2.744 0.000 -0.010
0.000 4.779 0.000
-0.799 0.000 5.318
W Mg Zr
2 1 1
Direct
0.763 0.000 0.758 W
0.237 0.000 0.242 W
0.000 0.500 0.500 Mg
0.500 0.500 0.000 Zr
```

Results
Its formation energy is 0.37 eV per atom.

---

Compound: Y3Mg4
Source: Alexandria
Functional: PBEsol
Structure: relaxed

The structure in POSCAR format:
```
Y3Mg4
1.0
-0.091 -0.642 3.318
-2.249 -2.465 -0.539
13.133 -8.987 -3.103
Y Mg
3 4
Direct
0.290 0.290 0.581 Y
0.710 0.710 0.419 Y
0.000 0.000 0.000 Y
0.572 0.572 0.145 Mg
0.135 0.135 0.271 Mg
0.865 0.865 0.729 Mg
0.428 0.428 0.855 Mg
```

Results
Its formation energy is -0.05 eV per atom.

---

Compound: Y4Mg3
Source: Alexandria
Functional: PBEsol
Structure: relaxed

The structure in POSCAR format:
```
Y4Mg3
1.0
5.945 0.000 0.000
-2.973 5.149 0.000
0.000 0.000 6.333
Y Mg
4 3
Direct
0.667 0.333 0.500 Y
0.000 0.000 0.254 Y
0.333 0.667 0.500 Y
0.000 0.000 0.746 Y
0.500 0.500 0.000 Mg
0.000 0.500 0.000 Mg
0.500 0.000 0.000 Mg
```

Results
As for the excess energy over the best structure of this formula in the dataset: 59 meV per atom. Its formation energy is 0.01 eV per atom.

---

Compound: Y3Mg5
Source: Alexandria
Functional: PBEsol
Structure: relaxed

The structure in POSCAR format:
```
Y3Mg5
1.0
-1.028 3.371 -3.751
-1.765 -4.857 -3.882
-5.254 1.968 3.208
Mg Y
5 3
Direct
0.000 0.000 0.000 Mg
0.000 0.500 0.000 Mg
0.500 0.752 0.752 Mg
0.500 0.248 0.248 Mg
0.000 0.000 0.500 Mg
0.500 0.759 0.241 Y
0.000 0.500 0.500 Y
0.500 0.241 0.759 Y
```

Results
Its formation energy is -0.08 eV per atom.

---

E_tot for every record listed, in sequence, given in eV per atom: -8.1422; -9.1904; -9.2323; -3.9588; -4.6216; -3.7121.